First-principles (PBE) data for an optimized crystal structure of Th4N3O, as listed in the Alexandria database.

```
data_Th4N3O
_chemical_formula_sum 'Th4 N3 O1'
_cell_length_a 5.1511
_cell_length_b 5.1511
_cell_length_c 5.1511
_cell_angle_alpha 90.00
_cell_angle_beta 90.00
_cell_angle_gamma 90.00
_space_group_name_H-M_alt 'P m -3 m'
_space_group_IT_number 221
_space_group_name_Hall '-P 4 2 3'
loop_
_atom_site_label
_atom_site_type_symbol
_atom_site_fract_x
_atom_site_fract_y
_atom_site_fract_z
Th1 Th 0.0000 0.0000 0.0000
Th2 Th 0.0000 0.5000 0.5000
N1 N 0.0000 0.0000 0.5000
O1 O 0.5000 0.5000 0.5000
```

DOS at the Fermi energy = 6.31 states/eV/cell
Formation energy (no corrections) = -1423 kJ/mol of formula units
DFT total energy = -74.36 eV for the cell shown

=====

First-principles (PBE) data for an optimized crystal structure of MgCu2Cl, as listed in the Alexandria database.

```
data_MgCu2Cl
_chemical_formula_sum 'Mg1 Cu2 Cl1'
_cell_length_a 3.0302
_cell_length_b 3.0302
_cell_length_c 7.1503
_cell_angle_alpha 90.00
_cell_angle_beta 90.00
_cell_angle_gamma 90.00
_space_group_name_H-M_alt 'P 4/m m m'
_space_group_IT_number 123
_space_group_name_Hall '-P 4 2'
loop_
_atom_site_label
_atom_site_type_symbol
_atom_site_fract_x
_atom_site_fract_y
_atom_site_fract_z
Mg1 Mg 0.0000 0.0000 0.0000
Cu1 Cu 0.5000 0.5000 0.2510
Cl1 Cl 0.0000 0.0000 0.5000
```

DOS at the Fermi energy = 1.55 states/eV/cell
Formation energy (no corrections) = 27 kJ/mol of formula units
DFT total energy = -11.35 eV for the cell shown
Excess energy over the best structure of this formula in the dataset = 1.34 eV/f.u.

=====

First-principles (PBE) data for an optimized crystal structure of CuSnBi3, as listed in the Alexandria database.

```
data_CuSnBi3
_chemical_formula_sum 'Cu1 Sn1 Bi3'
_cell_length_a 5.3156
_cell_length_b 5.3156
_cell_length_c 5.3156
_cell_angle_alpha 90.00
_cell_angle_beta 90.00
_cell_angle_gamma 90.00
_space_group_name_H-M_alt 'P m -3 m'
_space_group_IT_number 221
_space_group_name_Hall '-P 4 2 3'
loop_
_atom_site_label
_atom_site_type_symbol
_atom_site_fract_x
_atom_site_fract_y
_atom_site_fract_z
Cu1 Cu 0.0000 0.0000 0.0000
Sn1 Sn 0.5000 0.5000 0.5000
Bi1 Bi 0.0000 0.0000 0.5000
```

E_form = 0.37 eV/atom
DOS at the Fermi energy = 3.78 states/eV/cell
DFT total energy = -17.89 eV for the cell shown
Excess energy over the best structure of this formula in the dataset = 0.00 eV/f.u.

=====

First-principles (PBE) data for an optimized crystal structure of AcGdHo2, as listed in the Alexandria database.

```
data_AcGdHo2
_chemical_formula_sum 'Ac1 Gd1 Ho2'
_cell_length_a 3.7230
_cell_length_b 3.7230
_cell_length_c 9.9908
_cell_angle_alpha 90.00
_cell_angle_beta 90.00
_cell_angle_gamma 90.00
_space_group_name_H-M_alt 'P 4/m m m'
_space_group_IT_number 123
_space_group_name_Hall '-P 4 2'
loop_
_atom_site_label
_atom_site_type_symbol
_atom_site_fract_x
_atom_site_fract_y
_atom_site_fract_z
Ac1 Ac 0.0000 0.0000 0.0000
Gd1 Gd 0.0000 0.0000 0.5000
Ho1 Ho 0.5000 0.5000 0.2632
```

E_form = 0.06 eV/atom
DOS at the Fermi energy = 7.43 states/eV/cell
DFT total energy = -27.09 eV for the cell shown
Excess energy over the best structure of this formula in the dataset = 0.05 eV/f.u.